VASP calculation (GGA-PBE) on a relaxed structure of Nd4Pu.

Computed properties:
As for the magnetic moment: 7.160 μB per formula unit. The calculated volume is 37.8 Å³/atom. Its energy of formation is 2.33 eV/f.u.

CIF file:
```
data_Nd4Pu
_chemical_formula_sum 'Nd4 Pu1'
_symmetry_space_group_name_H-M 'P m -3 m'
_symmetry_Int_Tables_number 221
_symmetry_space_group_name_Hall '-P 4 2 3'
_cell_length_a 5.7374
_cell_length_b 5.7374
_cell_length_c 5.7374
_cell_angle_alpha 90.00
_cell_angle_beta 90.00
_cell_angle_gamma 90.00
loop_
_atom_site_label
_atom_site_type_symbol
_atom_site_fract_x
_atom_site_fract_y
_atom_site_fract_z
Nd1 Nd 0.0000 0.0000 0.0000
Nd2 Nd 0.0000 0.5000 0.5000
Pu1 Pu 0.5000 0.5000 0.5000
```



VASP calculation (GGA-PBE) on a relaxed structure of ErTmAlTl.

Computed properties:
As for the magnetic moment: 0.000 μB per formula unit. The calculated volume is 24.8 Å³/atom. Its energy of formation is -1.24 eV/f.u. Its offset from the most stable computed form is 29 meV per atom.

CIF file:
```
data_ErTmAlTl
_chemical_formula_sum 'Er4 Tm4 Al4 Tl4'
_symmetry_space_group_name_H-M 'F -4 3 m'
_symmetry_Int_Tables_number 216
_symmetry_space_group_name_Hall 'F -4 2 3'
_cell_length_a 7.3494
_cell_length_b 7.3494
_cell_length_c 7.3494
_cell_angle_alpha 90.00
_cell_angle_beta 90.00
_cell_angle_gamma 90.00
loop_
_atom_site_label
_atom_site_type_symbol
_atom_site_fract_x
_atom_site_fract_y
_atom_site_fract_z
Er1 Er 0.0000 0.0000 0.0000
Tm1 Tm 0.0000 0.0000 0.5000
Al1 Al 0.2500 0.2500 0.2500
Tl1 Tl 0.2500 0.2500 0.7500
```



VASP calculation (GGA-PBE) on a relaxed structure of La12CdIn3.

Computed properties:
As for the magnetic moment: 0.000 μB per formula unit. The calculated volume is 32.5 Å³/atom. Its energy of formation is -4.19 eV/f.u.

CIF file:
```
data_La12CdIn3
_chemical_formula_sum 'La12 Cd1 In3'
_symmetry_space_group_name_H-M 'P 4/m m m'
_symmetry_Int_Tables_number 123
_symmetry_space_group_name_Hall '-P 4 2'
_cell_length_a 5.0771
_cell_length_b 5.0771
_cell_length_c 20.1905
_cell_angle_alpha 90.00
_cell_angle_beta 90.00
_cell_angle_gamma 90.00
loop_
_atom_site_label
_atom_site_type_symbol
_atom_site_fract_x
_atom_site_fract_y
_atom_site_fract_z
La1 La 0.0000 0.0000 0.0000
La2 La 0.0000 0.0000 0.2488
La3 La 0.0000 0.0000 0.5000
La4 La 0.0000 0.5000 0.1251
La5 La 0.0000 0.5000 0.3746
Cd1 Cd 0.5000 0.5000 0.0000
In1 In 0.5000 0.5000 0.2489
In2 In 0.5000 0.5000 0.5000
```



VASP calculation (GGA-PBE) on a relaxed structure of PaTi2FeN4.

Computed properties:
As for the magnetic moment: 0.000 μB per formula unit. The calculated volume is 10.8 Å³/atom. As for the uncorrected formation energy: -1.2857 eV per atom.

CIF file:
```
data_PaTi2FeN4
_chemical_formula_sum 'Pa4 Ti8 Fe4 N16'
_symmetry_space_group_name_H-M 'C m c m'
_symmetry_Int_Tables_number 63
_symmetry_space_group_name_Hall '-C 2c 2'
_cell_length_a 3.1199
_cell_length_b 10.6178
_cell_length_c 10.4452
_cell_angle_alpha 90.00
_cell_angle_beta 90.00
_cell_angle_gamma 90.00
loop_
_atom_site_label
_atom_site_type_symbol
_atom_site_fract_x
_atom_site_fract_y
_atom_site_fract_z
Pa1 Pa 0.0000 0.1051 0.2500
Ti1 Ti 0.0000 0.3704 0.0522
Fe1 Fe 0.0000 0.1555 0.7500
N1 N 0.0000 0.0000 0.0000
N2 N 0.0000 0.2749 0.6159
N3 N 0.0000 0.4433 0.2500
```



VASP calculation (GGA-PBE) on a relaxed structure of HoNiRh.

Computed properties:
As for the magnetic moment: 0.000 μB per formula unit. The calculated volume is 16.5 Å³/atom. Its energy of formation is -1.91 eV/f.u.

CIF file:
```
data_HoNiRh
_chemical_formula_sum 'Ho4 Ni4 Rh4'
_symmetry_space_group_name_H-M 'I m m a'
_symmetry_Int_Tables_number 74
_symmetry_space_group_name_Hall '-I 2b 2'
_cell_length_a 5.0268
_cell_length_b 5.4050
_cell_length_c 7.3080
_cell_angle_alpha 90.00
_cell_angle_beta 90.00
_cell_angle_gamma 90.00
loop_
_atom_site_label
_atom_site_type_symbol
_atom_site_fract_x
_atom_site_fract_y
_atom_site_fract_z
Ho1 Ho 0.0000 0.2500 0.1202
Ni1 Ni 0.2500 0.2500 0.7500
Rh1 Rh 0.0000 0.0000 0.5000
```



VASP calculation (GGA-PBE) on a relaxed structure of Er4CdPd5.

Computed properties:
As for the magnetic moment: 0.000 μB per formula unit. The calculated volume is 20.3 Å³/atom. Its energy of formation is -8.33 eV/f.u.

CIF file:
```
data_Er4CdPd5
_chemical_formula_sum 'Er4 Cd1 Pd5'
_symmetry_space_group_name_H-M 'P 4/m m m'
_symmetry_Int_Tables_number 123
_symmetry_space_group_name_Hall '-P 4 2'
_cell_length_a 3.4738
_cell_length_b 3.4738
_cell_length_c 16.8395
_cell_angle_alpha 90.00
_cell_angle_beta 90.00
_cell_angle_gamma 90.00
loop_
_atom_site_label
_atom_site_type_symbol
_atom_site_fract_x
_atom_site_fract_y
_atom_site_fract_z
Er1 Er 0.0000 0.0000 0.1037
Er2 Er 0.0000 0.0000 0.3122
Cd1 Cd 0.0000 0.0000 0.5000
Pd1 Pd 0.5000 0.5000 0.0000
Pd2 Pd 0.5000 0.5000 0.2088
Pd3 Pd 0.5000 0.5000 0.4077
```



Which of these has the highest magnetic moment?
Nd4Pu



What is the magnetic moment in the fifth record?
0.000 μB per formula unit